! La2InFe (PBE-GGA, optimized geometry); values from VASP
&SYSTEM
  ibrav = 0, nat = 4, ntyp = 3
/
ATOMIC_SPECIES
La 138.91 La.upf
In 114.82 In.upf
Fe 55.84 Fe.upf
ATOMIC_POSITIONS crystal
La 0.5532 0.5532 0.0000
In 0.2500 0.7500 0.5000
Fe 0.7500 0.2500 0.5000
La 0.9468 0.9468 0.0000
CELL_PARAMETERS angstrom
-0.2211 -0.6270 5.7453
1.8415 -5.3724 1.0940
1.9837 4.8405 -2.4669
! total magnetic moment = 0.194 μB per atom
! ΔH_f (0 K) = 0.025 eV per atom



! LiLa2InFe (PBE-GGA, optimized geometry); values from VASP
&SYSTEM
  ibrav = 0, nat = 5, ntyp = 4
/
ATOMIC_SPECIES
Fe 55.84 Fe.upf
In 114.82 In.upf
Li 6.94 Li.upf
La 138.91 La.upf
ATOMIC_POSITIONS crystal
Fe 0.0000 0.0000 0.0000
In 0.0000 0.0000 0.5000
Li 0.5000 0.5000 0.5000
La 0.0000 0.5000 0.0000
La 0.5000 0.0000 0.0000
CELL_PARAMETERS angstrom
-4.7055 0.0402 2.2029
-2.2031 -0.1466 -4.7033
0.0256 -5.1599 0.1488
! total magnetic moment = 0.001 μB per atom
! ΔH_f (0 K) = -0.094 eV per atom



! La2InFeN (PBE-GGA, optimized geometry); values from VASP
&SYSTEM
  ibrav = 0, nat = 5, ntyp = 4
/
ATOMIC_SPECIES
N 14.01 N.upf
La 138.91 La.upf
In 114.82 In.upf
Fe 55.84 Fe.upf
ATOMIC_POSITIONS crystal
N 0.0000 0.0000 0.0000
La 0.5000 0.0000 0.0000
La 0.0000 0.5000 0.0000
In 0.5000 0.5000 0.5000
Fe 0.0000 0.0000 0.5000
CELL_PARAMETERS angstrom
-3.3157 -1.8911 3.8992
-3.6216 -1.4873 -3.8009
1.6037 -3.3000 -0.2368
! total magnetic moment = 0.195 μB per atom
! energy relative to the elements, uncorrected = -0.582 eV per atom



Which value of total magnetic moment does entry 2 give?
0.001 μB per atom